Record 1
The following is a DFT calculation (PBE) of a geometry-optimized In2AsRu2 structure.

Properties
- energy (eV per atom) = -5.711
- total magnetization (μB per cell) = 0.0
- symmetry = P4/mbm, No. 127
- energy of formation from the pure elements (meV per atom) = 25

CIF file:
```
data_In2AsRu2
_space_group_name_H-M_alt 'P 1'
_space_group_IT_number 1
_cell_length_a 6.4770
_cell_length_b 6.4770
_cell_length_c 4.2997
_cell_angle_alpha 90.00
_cell_angle_beta 90.00
_cell_angle_gamma 90.00
loop_
_space_group_symop_operation_xyz
'x,y,z'
loop_
_atom_site_label
_atom_site_type_symbol
_atom_site_fract_x
_atom_site_fract_y
_atom_site_fract_z
In1 In 0.1569 0.3431 0.0000
In2 In 0.3431 0.8431 0.0000
In3 In 0.6569 0.1569 0.0000
In4 In 0.8431 0.6569 0.0000
As1 As 0.0000 0.0000 0.5000
As2 As 0.5000 0.5000 0.5000
Ru1 Ru 0.1579 0.6579 0.5000
Ru2 Ru 0.3421 0.1579 0.5000
Ru3 Ru 0.6579 0.8421 0.5000
Ru4 Ru 0.8421 0.3421 0.5000
```

=====

Record 2
The following is a DFT calculation (PBE) of a geometry-optimized InAs2Ru structure.

Properties
- energy (eV per atom) = -5.347
- total magnetization (μB per cell) = 0.0
- symmetry = Imm2, No. 44
- energy of formation from the pure elements (meV per atom) = -18

CIF file:
```
data_InAs2Ru
_space_group_name_H-M_alt 'P 1'
_space_group_IT_number 1
_cell_length_a 8.9135
_cell_length_b 8.9135
_cell_length_c 8.9135
_cell_angle_alpha 160.37
_cell_angle_beta 160.05
_cell_angle_gamma 28.13
loop_
_space_group_symop_operation_xyz
'x,y,z'
loop_
_atom_site_label
_atom_site_type_symbol
_atom_site_fract_x
_atom_site_fract_y
_atom_site_fract_z
In1 In 0.0000 0.0000 0.0000
As1 As 0.3542 0.3542 0.0000
As2 As 0.6623 0.1623 0.5000
Ru1 Ru 0.2388 0.7388 0.5000
```

=====

Record 3
The following is a DFT calculation (PBE) of a geometry-optimized InAs2Ru structure.

Properties
- energy (eV per atom) = -4.909
- total magnetization (μB per cell) = 0.0
- symmetry = P4/mmm, No. 123
- energy of formation from the pure elements (meV per atom) = 419

CIF file:
```
data_InAs2Ru
_space_group_name_H-M_alt 'P 1'
_space_group_IT_number 1
_cell_length_a 4.5802
_cell_length_b 4.5802
_cell_length_c 3.4426
_cell_angle_alpha 90.00
_cell_angle_beta 90.00
_cell_angle_gamma 90.00
loop_
_space_group_symop_operation_xyz
'x,y,z'
loop_
_atom_site_label
_atom_site_type_symbol
_atom_site_fract_x
_atom_site_fract_y
_atom_site_fract_z
In1 In 0.0000 0.0000 0.0000
As1 As 0.0000 0.5000 0.5000
As2 As 0.5000 0.0000 0.5000
Ru1 Ru 0.5000 0.5000 0.0000
```

=====

Record 4
The following is a DFT calculation (PBE) of a geometry-optimized InAsRu structure.

Properties
- energy (eV per atom) = -5.641
- total magnetization (μB per cell) = 0.0
- symmetry = I4mm, No. 107
- energy of formation from the pure elements (meV per atom) = -86

CIF file:
```
data_InAsRu
_space_group_name_H-M_alt 'P 1'
_space_group_IT_number 1
_cell_length_a 6.5056
_cell_length_b 6.5056
_cell_length_c 6.5056
_cell_angle_alpha 153.00
_cell_angle_beta 153.00
_cell_angle_gamma 38.56
loop_
_space_group_symop_operation_xyz
'x,y,z'
loop_
_atom_site_label
_atom_site_type_symbol
_atom_site_fract_x
_atom_site_fract_y
_atom_site_fract_z
In1 In 0.0000 0.0000 0.0000
As1 As 0.7274 0.7274 0.0000
Ru1 Ru 0.3382 0.3382 0.0000
```

=====

Record 5
The following is a DFT calculation (PBE) of a geometry-optimized InAs2Ru structure.

Properties
- energy (eV per atom) = -4.962
- total magnetization (μB per cell) = 0.0
- symmetry = Pmmm, No. 47
- energy of formation from the pure elements (meV per atom) = 366

CIF file:
```
data_InAs2Ru
_space_group_name_H-M_alt 'P 1'
_space_group_IT_number 1
_cell_length_a 3.4388
_cell_length_b 4.4031
_cell_length_c 4.8281
_cell_angle_alpha 90.00
_cell_angle_beta 90.00
_cell_angle_gamma 90.00
loop_
_space_group_symop_operation_xyz
'x,y,z'
loop_
_atom_site_label
_atom_site_type_symbol
_atom_site_fract_x
_atom_site_fract_y
_atom_site_fract_z
In1 In 0.0000 0.0000 0.0000
As1 As 0.0000 0.5000 0.5000
As2 As 0.5000 0.0000 0.5000
Ru1 Ru 0.5000 0.5000 0.0000
```

=====

Record 6
The following is a DFT calculation (PBE) of a geometry-optimized InAsRu2 structure.

Properties
- energy (eV per atom) = -6.375
- total magnetization (μB per cell) = 0.0
- symmetry = Cm, No. 8
- energy of formation from the pure elements (meV per atom) = 110

CIF file:
```
data_InAsRu2
_space_group_name_H-M_alt 'P 1'
_space_group_IT_number 1
_cell_length_a 4.8537
_cell_length_b 4.8537
_cell_length_c 4.9025
_cell_angle_alpha 106.00
_cell_angle_beta 106.00
_cell_angle_gamma 36.97
loop_
_space_group_symop_operation_xyz
'x,y,z'
loop_
_atom_site_label
_atom_site_type_symbol
_atom_site_fract_x
_atom_site_fract_y
_atom_site_fract_z
In1 In 0.0000 0.0000 0.0000
As1 As 0.2429 0.2429 0.5654
Ru1 Ru 0.5184 0.5184 0.5333
Ru2 Ru 0.7576 0.7576 0.1798
```

=====

Record 7
The following is a DFT calculation (PBE) of a geometry-optimized InAs2Ru structure.

Properties
- energy (eV per atom) = -5.214
- total magnetization (μB per cell) = 0.0
- symmetry = Pm, No. 6
- energy of formation from the pure elements (meV per atom) = 115

CIF file:
```
data_InAs2Ru
_space_group_name_H-M_alt 'P 1'
_space_group_IT_number 1
_cell_length_a 3.8721
_cell_length_b 4.0938
_cell_length_c 5.3185
_cell_angle_alpha 90.00
_cell_angle_beta 108.28
_cell_angle_gamma 90.00
loop_
_space_group_symop_operation_xyz
'x,y,z'
loop_
_atom_site_label
_atom_site_type_symbol
_atom_site_fract_x
_atom_site_fract_y
_atom_site_fract_z
In1 In 0.0000 0.0000 0.0000
As1 As 0.2313 0.5000 0.5175
As2 As 0.6570 0.0000 0.4659
Ru1 Ru 0.6019 0.5000 0.1908
```

=====

Record 8
The following is a DFT calculation (PBE) of a geometry-optimized InAsRu2 structure.

Properties
- energy (eV per atom) = -6.479
- total magnetization (μB per cell) = 0.0
- symmetry = Imm2, No. 44
- energy of formation from the pure elements (meV per atom) = 6

CIF file:
```
data_InAsRu2
_space_group_name_H-M_alt 'P 1'
_space_group_IT_number 1
_cell_length_a 7.3371
_cell_length_b 7.3371
_cell_length_c 7.3371
_cell_angle_alpha 155.65
_cell_angle_beta 154.94
_cell_angle_gamma 35.23
loop_
_space_group_symop_operation_xyz
'x,y,z'
loop_
_atom_site_label
_atom_site_type_symbol
_atom_site_fract_x
_atom_site_fract_y
_atom_site_fract_z
In1 In 0.0000 0.0000 0.0000
As1 As 0.7461 0.2461 0.5000
Ru1 Ru 0.1691 0.6691 0.5000
Ru2 Ru 0.3756 0.3756 0.0000
```

=====

In Å³ per cell, the calculated volume values for the records above are, in order, 180.4, 81.1, 72.2, 56.7, 73.1, 66.5, 80.1, 68.9.